1.
Compound: Fe2CoSb
Source: Alexandria via LeMat-Bulk
Functional: meta-GGA SCAN
Structure: single point on PBEsol structure

a b c (Å): 2.9672 2.9672 7.6724
angles (deg): 78.85 78.85 60.00
Closest atoms and distances in Å follow each position.
Atoms (fractional coordinates):
Sb: 0.5000 0.5000 0.5000  6 Fe 2.69, 6 Sb 2.97
Fe: 0.7409 0.7409 0.7774  3 Co 2.39
Fe: 0.2591 0.2591 0.2226  3 Co 2.39
Co: 0.0000 0.0000 0.0000  6 Fe 2.39

Computed properties:
formation energy without anion corrections	1.82	eV/f.u.
space group	R-3m (166)
theoretical density	8514	kg/m³
magnetic moment	7.232	μB/cell
Fermi-level density of states	0.947	states/eV/atom

2.
Compound: ThTl
Source: Alexandria via LeMat-Bulk
Functional: meta-GGA SCAN
Structure: single point on PBEsol structure

a b c (Å): 6.4547 9.8373 10.7870
angles (deg): 90.00 90.00 90.00
Closest atoms and distances in Å follow each position.
Atoms (fractional coordinates):
Tl: 0.2500 0.0523 0.4065  9 Th 3.26-3.46
Tl: 0.7500 0.4477 0.4065  9 Th 3.26-3.46
Tl: 0.2500 0.6263 0.1451  7 Th 3.12-3.36, 2 Tl 3.17
Tl: 0.2500 0.1263 0.8549  7 Th 3.12-3.36, 2 Tl 3.17
Tl: 0.5000 0.7500 0.9193  4 Tl 3.17-3.23, 6 Th 3.26-3.39
Tl: 0.2500 0.5523 0.5935  9 Th 3.26-3.46
Tl: 0.7500 0.9477 0.5935  9 Th 3.26-3.46
Tl: 0.7500 0.3737 0.8549  7 Th 3.12-3.36, 2 Tl 3.17
Tl: 0.0000 0.2500 0.0807  4 Tl 3.17-3.23, 6 Th 3.26-3.39
Tl: 0.0000 0.7500 0.9193  4 Tl 3.17-3.23, 6 Th 3.26-3.39
Tl: 0.5000 0.2500 0.0807  4 Tl 3.17-3.23, 6 Th 3.26-3.39
Tl: 0.7500 0.8737 0.1451  7 Th 3.12-3.36, 2 Tl 3.17
Th: 0.2500 0.3722 0.3182  7 Tl 3.12-3.46
Th: 0.7500 0.0378 0.8840  9 Tl 3.25-3.39
Th: 0.5000 0.2500 0.6119  2 Th 3.23, 6 Tl 3.31-3.39
Th: 0.2500 0.8722 0.6818  7 Tl 3.12-3.46
Th: 0.2500 0.4622 0.8840  9 Tl 3.25-3.39
Th: 0.0000 0.2500 0.6119  2 Th 3.23, 6 Tl 3.31-3.39
Th: 0.7500 0.1278 0.3182  7 Tl 3.12-3.46
Th: 0.7500 0.6278 0.6818  7 Tl 3.12-3.46
Th: 0.5000 0.7500 0.3881  2 Th 3.23, 6 Tl 3.31-3.39
Th: 0.7500 0.5378 0.1160  9 Tl 3.25-3.39
Th: 0.2500 0.9622 0.1160  9 Tl 3.25-3.39
Th: 0.0000 0.7500 0.3881  2 Th 3.23, 6 Tl 3.31-3.39

Computed properties:
space group	Pbcm (57)
theoretical density	12697	kg/m³
ΔH_f (0 K)	-0.29	eV per atom
magnetic moment	0.000	μB/cell
Fermi-level density of states	0.895	states/eV/atom

3.
Compound: Ba4Nb25O40
Source: Alexandria via LeMat-Bulk
Functional: meta-GGA SCAN
Structure: single point on PBEsol structure

a b c (Å): 4.1197 6.6199 33.1063
angles (deg): 90.03 90.00 90.00
Closest atoms and distances in Å follow each position.
Atoms (fractional coordinates):
O: 0.0000 0.7982 0.1238  3 Nb 2.06-2.11
O: 0.5000 0.2979 0.2198  3 Nb 2.08-2.17
O: 0.0000 0.6126 0.4405  3 Nb 2.06-2.11
O: 0.5000 0.0989 0.5403  3 Nb 2.09-2.16
O: 0.0000 0.6128 0.6405  3 Nb 2.06-2.11
O: 0.0000 0.7973 0.5226  3 Nb 2.06-2.10
O: 0.0000 0.2066 0.0788  3 Nb 2.06-2.08
O: 0.5000 0.7010 0.3801  3 Nb 2.09-2.16
O: 0.5000 0.3002 0.8193  3 Nb 2.09-2.13
O: 0.5000 0.8977 0.8602  3 Nb 2.05-2.20
O: 0.5000 0.9029 0.0619  3 Nb 2.02-2.08
O: 0.5000 0.7010 0.5802  3 Nb 2.09-2.16
O: 0.0000 0.3874 0.5595  3 Nb 2.06-2.11
O: 0.0000 0.2031 0.6775  3 Nb 2.06-2.10
O: 0.0000 0.3865 0.9592  3 Nb 2.06-2.08
O: 0.5000 0.6893 0.9791  3 Nb 1.97-2.13
O: 0.0000 0.3884 0.1593  3 Nb 2.06-2.12
O: 0.5000 0.2990 0.4198  3 Nb 2.09-2.16
O: 0.5000 0.1001 0.7402  3 Nb 2.09-2.16
O: 0.5000 0.8999 0.2598  3 Nb 2.09-2.16
O: 0.0000 0.3882 0.7594  3 Nb 2.06-2.10
O: 0.0000 0.6118 0.2406  3 Nb 2.06-2.10
O: 0.5000 0.7021 0.7802  3 Nb 2.08-2.17
O: 0.5000 0.3107 0.0209  3 Nb 1.97-2.13
O: 0.0000 0.7934 0.9212  3 Nb 2.06-2.08
O: 0.0000 0.3872 0.3595  3 Nb 2.06-2.11
O: 0.0000 0.6116 0.8407  3 Nb 2.06-2.12
O: 0.5000 0.9011 0.4597  3 Nb 2.09-2.16
O: 0.0000 0.2021 0.2775  3 Nb 2.06-2.10
O: 0.5000 0.0971 0.9381  3 Nb 2.02-2.08
O: 0.5000 0.2990 0.6199  3 Nb 2.09-2.16
O: 0.5000 0.1023 0.1398  3 Nb 2.05-2.20
O: 0.0000 0.6135 0.0408  3 Nb 2.06-2.08
O: 0.5000 0.6998 0.1807  3 Nb 2.09-2.13
O: 0.0000 0.2027 0.4774  3 Nb 2.06-2.10
O: 0.0000 0.7979 0.7225  3 Nb 2.06-2.10
O: 0.5000 0.0988 0.3403  3 Nb 2.09-2.16
O: 0.0000 0.2018 0.8762  3 Nb 2.06-2.11
O: 0.5000 0.9012 0.6597  3 Nb 2.09-2.16
O: 0.0000 0.7969 0.3225  3 Nb 2.06-2.10
Nb: 0.5000 0.6188 0.0400  5 O 2.02-2.13
Nb: 0.0000 0.4995 0.3000  4 O 2.10-2.11
Nb: 0.5000 0.7925 0.9232  5 O 1.97-2.20
Nb: 0.5000 0.5985 0.6421  5 O 2.06-2.16
Nb: 0.5000 0.3996 0.1575  5 O 2.05-2.17
Nb: 0.0000 0.4964 0.9003  4 O 2.08-2.12
Nb: 0.5000 0.7909 0.7198  5 O 2.06-2.16
Nb: 0.5000 0.4023 0.7583  5 O 2.06-2.13
Nb: 0.0000 0.5000 0.5000  4 O 2.10-2.11
Nb: 0.5000 0.2103 0.6805  5 O 2.06-2.16
Nb: 0.0000 0.5005 0.7000  4 O 2.10-2.11
Nb: 0.5000 0.2091 0.2802  5 O 2.06-2.16
Nb: 0.5000 0.2075 0.0768  5 O 1.97-2.20
Nb: 0.5000 0.3812 0.9600  5 O 2.02-2.13
Nb: 0.5000 0.7897 0.5196  5 O 2.06-2.16
Nb: 0.5000 0.4015 0.5580  5 O 2.06-2.16
Nb: 0.5000 0.5985 0.4420  5 O 2.06-2.16
Nb: 0.5000 0.2064 0.8796  5 O 2.06-2.14
Nb: 0.0000 0.5036 0.0997  4 O 2.08-2.12
Nb: 0.5000 0.4015 0.3579  5 O 2.06-2.16
Nb: 0.5000 0.2103 0.4804  5 O 2.06-2.16
Nb: 0.5000 0.5977 0.2417  5 O 2.06-2.13
Nb: 0.5000 0.7936 0.1204  5 O 2.06-2.14
Nb: 0.5000 0.6004 0.8425  5 O 2.05-2.17
Nb: 0.5000 0.7897 0.3195  5 O 2.06-2.16
Ba: 0.0000 0.9998 0.6001  12 O 2.89-2.93
Ba: 0.0000 0.0002 0.3999  12 O 2.89-2.93
Ba: 0.0000 0.9981 0.8009  12 O 2.83-2.95
Ba: 0.0000 0.0019 0.1991  12 O 2.83-2.95

Computed properties:
formation energy without anion corrections	-178.34	eV/f.u.
space group	P2/m (10)
theoretical density	6459	kg/m³
magnetic moment	0.000	μB/cell
Fermi-level density of states	0.156	states/eV/atom

4.
Compound: TlCuRu
Source: Alexandria via LeMat-Bulk
Functional: meta-GGA SCAN
Structure: single point on PBEsol structure

a b c (Å): 4.2847 4.2847 4.2847
angles (deg): 60.00 60.00 60.00
Closest atoms and distances in Å follow each position.
Atoms (fractional coordinates):
Ru: 0.5000 0.5000 0.5000  4 Tl 2.62
Tl: 0.7500 0.7500 0.7500  4 Cu 2.62, 4 Ru 2.62
Cu: 0.0000 0.0000 0.0000  4 Tl 2.62

Computed properties:
energy relative to the lowest polymorph listed for this composition	1.14	eV per formula unit
space group	F-43m (216)
theoretical density	11016	kg/m³
ΔH_f (0 K)	0.98	eV per atom
magnetic moment	0.000	μB/cell
Fermi-level density of states	0.486	states/eV/atom

5.
Compound: Al3Ag7
Source: Alexandria via LeMat-Bulk
Functional: meta-GGA SCAN
Structure: single point on PBEsol structure

a b c (Å): 4.0040 3.9943 10.3078
angles (deg): 101.17 90.00 90.00
Closest atoms and distances in Å follow each position.
Atoms (fractional coordinates):
Ag: 0.5000 0.2977 0.5953  2 Al 2.76, 10 Ag 2.83-2.92
Ag: 0.0000 0.7985 0.5970  2 Al 2.77, 10 Ag 2.83-2.91
Ag: 0.0000 0.5997 0.1995  4 Ag 2.78-2.79, 8 Al 2.83-2.90
Ag: 0.5000 0.9011 0.8022  2 Al 2.77, 10 Ag 2.83-2.89
Ag: 0.0000 0.0041 0.0083  6 Ag 2.78-2.89, 6 Al 2.79-2.83
Ag: 0.5000 0.6961 0.3922  6 Al 2.78-2.83, 6 Ag 2.79-2.88
Ag: 0.0000 0.4029 0.8058  2 Al 2.75, 10 Ag 2.83-2.92
Al: 0.5000 0.4959 0.9918  10 Ag 2.75-2.90, 2 Al 2.91
Al: 0.5000 0.1003 0.2006  8 Ag 2.78-2.83, 4 Al 2.90-2.91
Al: 0.0000 0.2037 0.4074  10 Ag 2.76-2.90, 2 Al 2.90

Computed properties:
space group	Amm2 (38)
theoretical density	8584	kg/m³
ΔH_f (0 K)	-0.08	eV per atom
magnetic moment	0.000	μB/cell
Fermi-level density of states	0.255	states/eV/atom

6.
Compound: CsSiOF2
Source: Alexandria via LeMat-Bulk
Functional: meta-GGA SCAN
Structure: single point on PBEsol structure

a b c (Å): 3.5651 4.5440 4.5440
angles (deg): 90.00 90.00 90.00
Closest atoms and distances in Å follow each position.
Atoms (fractional coordinates):
O: 0.5000 0.0000 0.0000  2 Si 1.78
F: 0.0000 0.5000 0.0000  2 Si 2.27
F: 0.0000 0.0000 0.5000  2 Si 2.27
Si: 0.0000 0.0000 0.0000  2 O 1.78
Cs: 0.5000 0.5000 0.5000  8 F 2.89, 4 O 3.21

Computed properties:
formation energy without anion corrections	-10.75	eV/f.u.
space group	P4/mmm (123)
theoretical density	4850	kg/m³
magnetic moment	0.000	μB/cell
Fermi-level density of states	0.088	states/eV/atom

7.
Compound: CuNi2H2
Source: Alexandria via LeMat-Bulk
Functional: meta-GGA SCAN
Structure: single point on PBEsol structure

a b c (Å): 2.8478 2.8478 5.0238
angles (deg): 106.47 106.47 90.00
Closest atoms and distances in Å follow each position.
Atoms (fractional coordinates):
Cu: 0.0000 0.0000 0.0000  8 Ni 2.46, 8 H 2.71
Ni: 0.3468 0.3468 0.6935  4 H 1.68
Ni: 0.6532 0.6532 0.3065  4 H 1.68
H: 0.7500 0.2500 0.5000  4 Ni 1.68
H: 0.2500 0.7500 0.5000  4 Ni 1.68

Computed properties:
space group	I4/mmm (139)
theoretical density	8139	kg/m³
electronic total energy	-10.85	eV per atom
magnetic moment	0.000	μB/cell
Fermi-level density of states	0.327	states/eV/atom

8.
Compound: CrAs2PdSe
Source: Alexandria via LeMat-Bulk
Functional: meta-GGA SCAN
Structure: single point on PBEsol structure

a b c (Å): 4.5406 4.5406 4.5898
angles (deg): 90.00 90.00 90.00
Closest atoms and distances in Å follow each position.
Atoms (fractional coordinates):
Se: 0.0000 0.0000 0.5000  2 Cr 2.29
As: 0.5000 0.0000 0.0000  2 Cr 2.27
As: 0.0000 0.5000 0.0000  2 Cr 2.27
Pd: 0.5000 0.5000 0.5000  4 Se 3.21, 8 As 3.23
Cr: 0.0000 0.0000 0.0000  4 As 2.27, 2 Se 2.29

Computed properties:
formation energy without anion corrections	2.34	eV/f.u.
space group	P4/mmm (123)
theoretical density	6795	kg/m³
magnetic moment	1.703	μB/cell
Fermi-level density of states	0.714	states/eV/atom

9.
Compound: Re3Te5
Source: Alexandria via LeMat-Bulk
Functional: meta-GGA SCAN
Structure: single point on PBEsol structure

a b c (Å): 3.5831 7.5459 7.5459
angles (deg): 110.20 90.00 90.00
Closest atoms and distances in Å follow each position.
Atoms (fractional coordinates):
Te: 0.5000 0.7264 0.7264  4 Re 2.65-2.73, 2 Te 2.97
Te: 0.0000 0.0000 0.0000  4 Te 2.97
Te: 0.5000 0.2736 0.2736  4 Re 2.65-2.73, 2 Te 2.97
Te: 0.0000 0.5000 0.0000  4 Re 3.04
Te: 0.0000 0.0000 0.5000  4 Re 3.04
Re: 0.0000 0.5000 0.5000  4 Re 2.62, 4 Te 2.65
Re: 0.5000 0.6545 0.3455  2 Re 2.62, 2 Te 2.73
Re: 0.5000 0.3455 0.6545  2 Re 2.62, 2 Te 2.73

Computed properties:
formation energy without anion corrections	6.40	eV/f.u.
space group	Cmmm (65)
theoretical density	10378	kg/m³
magnetic moment	0.000	μB/cell
Fermi-level density of states	0.702	states/eV/atom

10.
Compound: TcPOs2
Source: Alexandria via LeMat-Bulk
Functional: meta-GGA SCAN
Structure: single point on PBEsol structure

a b c (Å): 4.2617 4.2617 4.2617
angles (deg): 60.00 60.00 60.00
Closest atoms and distances in Å follow each position.
Atoms (fractional coordinates):
P: 0.5000 0.5000 0.5000  4 Tc 2.61, 4 Os 2.61
Os: 0.0000 0.0000 0.0000  4 Tc 2.61, 4 Os 2.61
Os: 0.2500 0.2500 0.2500  4 Os 2.61, 4 P 2.61
Tc: 0.7500 0.7500 0.7500  4 P 2.61, 4 Os 2.61

Computed properties:
space group	F-43m (216)
theoretical density	15456	kg/m³
ΔH_f (0 K)	0.43	eV per atom
magnetic moment	0.000	μB/cell
Fermi-level density of states	0.665	states/eV/atom

11.
Compound: ZnRh3F
Source: Alexandria via LeMat-Bulk
Functional: meta-GGA SCAN
Structure: single point on PBEsol structure

a b c (Å): 4.5374 4.5374 4.5374
angles (deg): 90.00 90.00 90.00
Closest atoms and distances in Å follow each position.
Atoms (fractional coordinates):
Rh: 0.0000 0.5000 0.0000  2 Zn 2.27
Rh: 0.0000 0.0000 0.5000  2 Zn 2.27
Rh: 0.5000 0.0000 0.0000  2 Zn 2.27
Zn: 0.0000 0.0000 0.0000  6 Rh 2.27
F: 0.5000 0.5000 0.5000  12 Rh 3.21

Computed properties:
formation energy without anion corrections	5.66	eV/f.u.
space group	Pm-3m (221)
theoretical density	6988	kg/m³
magnetic moment	4.221	μB/cell
Fermi-level density of states	0.973	states/eV/atom

12.
Compound: BaGa3C
Source: Alexandria via LeMat-Bulk
Functional: meta-GGA SCAN
Structure: single point on PBEsol structure

a b c (Å): 4.6654 4.6654 4.6654
angles (deg): 90.00 90.00 90.00
Closest atoms and distances in Å follow each position.
Atoms (fractional coordinates):
Ga: 0.0000 0.5000 0.0000  2 C 2.33
Ga: 0.0000 0.0000 0.5000  2 C 2.33
Ga: 0.5000 0.0000 0.0000  2 C 2.33
Ba: 0.5000 0.5000 0.5000  12 Ga 3.30
C: 0.0000 0.0000 0.0000  6 Ga 2.33

Computed properties:
space group	Pm-3m (221)
theoretical density	5862	kg/m³
ΔH_f (0 K)	0.70	eV per atom
magnetic moment	0.000	μB/cell
Fermi-level density of states	0.619	states/eV/atom

Q: Look up the Fermi-level density of states of the fourth one.
A: 0.486 states/eV/atom

Q: What is the magnetic moment in the ninth record?
A: 0.000 μB/cell

Q: Number 6 is which compound?
A: CsSiOF2

What did the tenth record say?
Compound: TcPOs2
Source: Alexandria via LeMat-Bulk
Functional: meta-GGA SCAN
Structure: single point on PBEsol structure

a b c (Å): 4.2617 4.2617 4.2617
angles (deg): 60.00 60.00 60.00
Closest atoms and distances in Å follow each position.
Atoms (fractional coordinates):
P: 0.5000 0.5000 0.5000  4 Tc 2.61, 4 Os 2.61
Os: 0.0000 0.0000 0.0000  4 Tc 2.61, 4 Os 2.61
Os: 0.2500 0.2500 0.2500  4 Os 2.61, 4 P 2.61
Tc: 0.7500 0.7500 0.7500  4 P 2.61, 4 Os 2.61

Computed properties:
space group	F-43m (216)
theoretical density	15456	kg/m³
ΔH_f (0 K)	0.43	eV per atom
magnetic moment	0.000	μB/cell
Fermi-level density of states	0.665	states/eV/atom